Record 1
Below is a geometry-optimized TbEr2Tl3S6 structure, with properties calculated at the PBE level.

Summary:
- Total DFT energy (no corrections): -63.49 eV per cell
- Formation energy from raw total energies: -1724.7 kJ/mol of formula units

Cell: 6.9518 6.9518 7.8717 Å, 98.46 98.46 120.00°
With the nearest neighbours (Å) after each atom.
Atoms (fractional coordinates):
Tb 0.0000 0.0000 0.0000  6 S 2.77
Er 0.3333 0.6667 0.0000  6 S 2.74
Er 0.6667 0.3333 0.0000  6 S 2.74
Tl 0.1662 0.8338 0.5000  6 S 3.24-3.26
Tl 0.5000 0.5000 0.5000  6 S 3.24-3.26
Tl 0.8338 0.1662 0.5000  6 S 3.24-3.26
S 0.0657 0.4025 0.1971  2 Er 2.74, 1 Tb 2.77
S 0.2712 0.2712 0.8036  2 Er 2.74, 1 Tb 2.77
S 0.4025 0.0657 0.1971  2 Er 2.74, 1 Tb 2.77
S 0.5975 0.9343 0.8029  2 Er 2.74, 1 Tb 2.77
S 0.7288 0.7288 0.1964  2 Er 2.74, 1 Tb 2.77
S 0.9343 0.5975 0.8029  2 Er 2.74, 1 Tb 2.77

=====

Record 2
Below is a geometry-optimized Pm7YTm3 structure, with properties calculated at the PBE level.

Summary:
- Calculated formation energy: 0.233 eV per atom
- Total DFT energy (no corrections): -50.57 eV per cell
- Energy above the most stable polymorph in this dataset: 0.1156 eV per atom

Cell: 8.5175 8.5175 5.8594 Å, 110.07 110.07 83.16°
With the nearest neighbours (Å) after each atom.
Atoms (fractional coordinates):
Pm 0.0000 0.0000 0.0000  2 Y 2.93
Pm 0.0972 0.5154 0.3065  2 Tm 3.22-3.60, 3 Pm 3.32-3.47
Pm 0.2926 0.2926 0.7941  2 Tm 3.29, 1 Y 3.31, 2 Pm 3.47
Pm 0.4846 0.9028 0.6935  2 Tm 3.22-3.60, 3 Pm 3.32-3.47
Pm 0.5154 0.0972 0.3065  2 Tm 3.22-3.60, 3 Pm 3.32-3.47
Pm 0.7074 0.7074 0.2059  2 Tm 3.29, 1 Y 3.31, 2 Pm 3.47
Pm 0.9028 0.4846 0.6935  2 Tm 3.22-3.60, 3 Pm 3.32-3.47
Y 0.0000 0.0000 0.5000  2 Pm 2.93
Tm 0.2957 0.7043 0.0000  9 Pm 3.29-3.66
Tm 0.5000 0.5000 0.5000  4 Pm 3.22
Tm 0.7043 0.2957 0.0000  9 Pm 3.29-3.66

=====

Record 3
Below is a geometry-optimized SmDyY structure, with properties calculated at the PBE level.

Summary:
- Calculated formation energy: -0.005 eV per atom
- Total DFT energy (no corrections): -63.20 eV per cell
- Energy above the most stable polymorph in this dataset: 0.0000 eV per atom

Cell: 17.4065 3.6088 6.2514 Å, 90.00 96.86 90.00°
With the nearest neighbours (Å) after each atom.
Atoms (fractional coordinates):
Sm 0.2494 0.0000 0.2507  3 Dy 3.56-3.57, 3 Y 3.57-3.58, 6 Sm 3.60-3.62
Sm 0.2506 0.5000 0.7493  3 Dy 3.56-3.57, 3 Y 3.57-3.58, 6 Sm 3.60-3.62
Sm 0.7494 0.5000 0.2507  3 Dy 3.56-3.57, 3 Y 3.57-3.58, 6 Sm 3.60-3.62
Sm 0.7506 0.0000 0.7493  3 Dy 3.56-3.57, 3 Y 3.57-3.58, 6 Sm 3.60-3.62
Dy 0.0825 0.5000 0.3617  3 Dy 3.53-3.61, 6 Y 3.53-3.62, 3 Sm 3.56-3.57
Dy 0.4175 0.0000 0.6383  3 Dy 3.53-3.61, 6 Y 3.53-3.62, 3 Sm 3.56-3.57
Dy 0.5825 0.0000 0.3617  3 Dy 3.53-3.61, 6 Y 3.53-3.62, 3 Sm 3.56-3.57
Dy 0.9175 0.5000 0.6383  3 Dy 3.53-3.61, 6 Y 3.53-3.62, 3 Sm 3.56-3.57
Y 0.0821 0.0000 0.8602  3 Y 3.52-3.61, 6 Dy 3.53-3.62, 3 Sm 3.57-3.58
Y 0.4179 0.5000 0.1398  3 Y 3.52-3.61, 6 Dy 3.53-3.62, 3 Sm 3.57-3.58
Y 0.5821 0.5000 0.8602  3 Y 3.52-3.61, 6 Dy 3.53-3.62, 3 Sm 3.57-3.58
Y 0.9179 0.0000 0.1398  3 Y 3.52-3.61, 6 Dy 3.53-3.62, 3 Sm 3.57-3.58

=====

Record 4
Below is a geometry-optimized CeGa3Ge structure, with properties calculated at the PBE level.

Summary:
- Calculated formation energy: 0.100 eV per atom
- Total DFT energy (no corrections): -19.13 eV per cell

Cell: 5.2863 5.2974 5.9735 Å, 110.90 110.49 97.00°
With the nearest neighbours (Å) after each atom.
Atoms (fractional coordinates):
Ce 0.0000 0.0000 0.0000  2 Ge 2.99, 6 Ga 3.17-3.22
Ga 0.0000 0.5000 0.5000  2 Ga 2.64, 2 Ge 2.65
Ga 0.5000 0.0000 0.5000  2 Ge 2.64, 2 Ga 2.65
Ga 0.5000 0.5000 0.5000  4 Ga 2.64-2.65
Ge 0.0000 0.0000 0.5000  4 Ga 2.64-2.65

=====

Record 5
Below is a geometry-optimized KGeBr2 structure, with properties calculated at the PBE level.

Summary:
- Total DFT energy (no corrections): -46.26 eV per cell
- Formation energy from raw total energies: -241.7 kJ/mol of formula units

Cell: 6.2693 6.2693 16.9124 Å, 90.00 90.00 90.00°
With the nearest neighbours (Å) after each atom.
Atoms (fractional coordinates):
K 0.0000 0.0000 0.0000  4 Br 3.28
K 0.0000 0.5000 0.2500  4 Br 3.28
K 0.5000 0.0000 0.7500  4 Br 3.28
K 0.5000 0.5000 0.5000  4 Br 3.28
Ge 0.0000 0.0000 0.5000  4 Br 2.88
Ge 0.0000 0.5000 0.7500  4 Br 2.88
Ge 0.5000 0.0000 0.2500  4 Br 2.88
Ge 0.5000 0.5000 0.0000  4 Br 2.88
Br 0.1877 0.2500 0.6250  2 Ge 2.88
Br 0.2500 0.6877 0.8750  2 Ge 2.88
Br 0.2500 0.8123 0.3750  2 Ge 2.88
Br 0.3123 0.2500 0.1250  2 Ge 2.88
Br 0.6877 0.7500 0.1250  2 Ge 2.88
Br 0.7500 0.1877 0.3750  2 Ge 2.88
Br 0.7500 0.3123 0.8750  2 Ge 2.88
Br 0.8123 0.7500 0.6250  2 Ge 2.88

=====

Record 6
Below is a geometry-optimized ThScAg4 structure, with properties calculated at the PBE level.

Summary:
- Calculated formation energy: -0.045 eV per atom
- Total DFT energy (no corrections): -25.42 eV per cell
- Energy above the most stable polymorph in this dataset: 0.1152 eV per atom

Cell: 5.6657 5.6657 5.6657 Å, 60.00 60.00 60.00°
With the nearest neighbours (Å) after each atom.
Atoms (fractional coordinates):
Th 0.0000 0.0000 0.0000  12 Ag 3.32, 4 Sc 3.47
Sc 0.7500 0.7500 0.7500  12 Ag 3.32, 4 Th 3.47
Ag 0.3755 0.3755 0.3755  6 Ag 2.82-2.84
Ag 0.3755 0.3755 0.8734  6 Ag 2.82-2.84
Ag 0.3755 0.8734 0.3755  6 Ag 2.82-2.84
Ag 0.8734 0.3755 0.3755  6 Ag 2.82-2.84

=====

Record 7
Below is a geometry-optimized CaSb2Pb2 structure, with properties calculated at the PBE level.

Summary:
- Total DFT energy (no corrections): -37.66 eV per cell
- Formation energy from raw total energies: -112.7 kJ/mol of formula units

Cell: 4.5236 4.5236 16.0283 Å, 90.00 90.00 90.00°
With the nearest neighbours (Å) after each atom.
Atoms (fractional coordinates):
Ca 0.0000 0.0000 0.0000  8 Sb 3.51
Ca 0.5000 0.5000 0.5000  8 Sb 3.51
Sb 0.0000 0.0000 0.4099  1 Sb 2.89
Sb 0.0000 0.0000 0.5901  1 Sb 2.89
Sb 0.5000 0.5000 0.0901  1 Sb 2.89
Sb 0.5000 0.5000 0.9099  1 Sb 2.89
Pb 0.0000 0.5000 0.2500  4 Pb 3.20, 4 Sb 3.42
Pb 0.0000 0.5000 0.7500  4 Pb 3.20, 4 Sb 3.42
Pb 0.5000 0.0000 0.2500  4 Pb 3.20, 4 Sb 3.42
Pb 0.5000 0.0000 0.7500  4 Pb 3.20, 4 Sb 3.42

=====

Record 8
Below is a geometry-optimized NaAuSe4 structure, with properties calculated at the PBE level.

Summary:
- Total DFT energy (no corrections): -39.47 eV per cell
- Formation energy from raw total energies: -116.0 kJ/mol of formula units
- Energy above the most stable polymorph in this dataset: 0.0171 eV per atom

Cell: 6.0245 6.0245 11.8812 Å, 91.32 91.32 45.46°
With the nearest neighbours (Å) after each atom.
Atoms (fractional coordinates):
Na 0.1594 0.8406 0.7500  6 Se 2.99-3.17
Na 0.8406 0.1594 0.2500  6 Se 2.99-3.17
Au 0.0000 0.5000 0.0000  2 Se 2.50
Au 0.5000 0.0000 0.5000  2 Se 2.50
Se 0.1756 0.3422 0.6976  2 Se 2.65, 1 Au 2.81
Se 0.2070 0.7379 0.0385  2 Se 2.45-2.71, 1 Au 2.50
Se 0.2621 0.7930 0.4615  2 Se 2.45-2.71, 1 Au 2.50
Se 0.3422 0.1756 0.1976  2 Se 2.65, 1 Au 2.81
Se 0.6578 0.8244 0.8024  2 Se 2.65, 1 Au 2.81
Se 0.7379 0.2070 0.5385  2 Se 2.45-2.71, 1 Au 2.50
Se 0.7930 0.2621 0.9615  2 Se 2.45-2.71, 1 Au 2.50
Se 0.8244 0.6578 0.3024  2 Se 2.65, 1 Au 2.81